# PBE LiCaGa2Pt2, relaxed
# **Size of the total moment**: 0.0 μB/f.u.
# **Total energy**: -4.503 eV/atom
# **Energy of formation from the pure elements**: -0.828 eV/atom
data_LiCaGa2Pt2
_chemical_formula_sum 'Li1 Ca1 Ga2 Pt2'
_space_group_name_H-M_alt 'P -3 m 1'
_space_group_IT_number 164
_space_group_name_Hall '-P 3 2"'
_cell_length_a 4.3675
_cell_length_b 4.3675
_cell_length_c 6.7042
_cell_angle_alpha 90.00
_cell_angle_beta 90.00
_cell_angle_gamma 120.00
loop_
_atom_site_label
_atom_site_type_symbol
_atom_site_fract_x
_atom_site_fract_y
_atom_site_fract_z
Li1 Li 0.0000 0.0000 0.0000
Ca1 Ca 0.0000 0.0000 0.5000
Ga1 Ga 0.3333 0.6667 0.8159
Pt1 Pt 0.3333 0.6667 0.2070


# PBE LiCaGa2Pt, relaxed
# **Size of the total moment**: 0.0 μB/f.u.
# **Total energy**: -3.642 eV/atom
# **Energy of formation from the pure elements**: -0.440 eV/atom
# **Distance to the lowest polymorph of the same formula**: 172 meV per atom
data_LiCaGa2Pt
_chemical_formula_sum 'Li1 Ca1 Ga2 Pt1'
_space_group_name_H-M_alt 'P 4/m m m'
_space_group_IT_number 123
_space_group_name_Hall '-P 4 2'
_cell_length_a 4.821
_cell_length_b 4.821
_cell_length_c 4.820
_cell_angle_alpha 90.00
_cell_angle_beta 90.00
_cell_angle_gamma 90.00
loop_
_atom_site_label
_atom_site_type_symbol
_atom_site_fract_x
_atom_site_fract_y
_atom_site_fract_z
Li1 Li 0.000 0.000 0.000
Ca1 Ca 0.500 0.500 0.000
Ga1 Ga 0.000 0.500 0.500
Pt1 Pt 0.000 0.000 0.500


# PBE LiCaPuGa, relaxed
# **Size of the total moment**: 5.9 μB/f.u.
# **Total energy**: -5.357 eV/atom
# **Energy of formation from the pure elements**: -0.039 eV/atom
data_LiCaPuGa
_chemical_formula_sum 'Li4 Ca4 Pu4 Ga4'
_space_group_name_H-M_alt 'F -4 3 m'
_space_group_IT_number 216
_space_group_name_Hall 'F -4 2 3'
_cell_length_a 7.354
_cell_length_b 7.354
_cell_length_c 7.354
_cell_angle_alpha 90.00
_cell_angle_beta 90.00
_cell_angle_gamma 90.00
loop_
_atom_site_label
_atom_site_type_symbol
_atom_site_fract_x
_atom_site_fract_y
_atom_site_fract_z
Li1 Li 0.000 0.000 0.000
Ca1 Ca 0.250 0.250 0.250
Pu1 Pu 0.250 0.250 0.750
Ga1 Ga 0.000 0.000 0.500


# PBE LiCa2GaRe, relaxed
# **Size of the total moment**: 1.0 μB/f.u.
# **Total energy**: -3.803 eV/atom
# **Energy of formation from the pure elements**: 0.475 eV/atom
data_LiCa2GaRe
_chemical_formula_sum 'Li1 Ca2 Ga1 Re1'
_space_group_name_H-M_alt 'P 4/m m m'
_space_group_IT_number 123
_space_group_name_Hall '-P 4 2'
_cell_length_a 5.532
_cell_length_b 5.532
_cell_length_c 4.936
_cell_angle_alpha 90.00
_cell_angle_beta 90.00
_cell_angle_gamma 90.00
loop_
_atom_site_label
_atom_site_type_symbol
_atom_site_fract_x
_atom_site_fract_y
_atom_site_fract_z
Li1 Li 0.000 0.000 0.000
Ca1 Ca 0.000 0.500 0.500
Ga1 Ga 0.500 0.500 0.000
Re1 Re 0.500 0.500 0.500


# PBE LiCaGa2Rh, relaxed
# **Size of the total moment**: 0.0 μB/f.u.
# **Total energy**: -3.851 eV/atom
# **Energy of formation from the pure elements**: -0.387 eV/atom
data_LiCaGa2Rh
_chemical_formula_sum 'Li1 Ca1 Ga2 Rh1'
_space_group_name_H-M_alt 'P 4/m m m'
_space_group_IT_number 123
_space_group_name_Hall '-P 4 2'
_cell_length_a 4.757
_cell_length_b 4.757
_cell_length_c 4.763
_cell_angle_alpha 90.00
_cell_angle_beta 90.00
_cell_angle_gamma 90.00
loop_
_atom_site_label
_atom_site_type_symbol
_atom_site_fract_x
_atom_site_fract_y
_atom_site_fract_z
Li1 Li 0.000 0.000 0.000
Ca1 Ca 0.500 0.500 0.000
Ga1 Ga 0.000 0.500 0.500
Rh1 Rh 0.000 0.000 0.500


# PBE Li2CaGaS4, relaxed
# **Size of the total moment**: 0.0 μB/f.u.
# **Total energy**: -4.282 eV/atom
# **Energy relative to the elements, uncorrected**: -1.112 eV per atom
data_Li2CaGaS4
_chemical_formula_sum 'Li4 Ca2 Ga2 S8'
_space_group_name_H-M_alt 'I -4 2 m'
_space_group_IT_number 121
_space_group_name_Hall 'I -4 2'
_cell_length_a 6.549
_cell_length_b 6.549
_cell_length_c 7.441
_cell_angle_alpha 90.00
_cell_angle_beta 90.00
_cell_angle_gamma 90.00
loop_
_atom_site_label
_atom_site_type_symbol
_atom_site_fract_x
_atom_site_fract_y
_atom_site_fract_z
Li1 Li 0.000 0.500 0.250
Ca1 Ca 0.000 0.000 0.000
Ga1 Ga 0.000 0.000 0.500
S1 S 0.209 0.209 0.337


# PBE Li2Ca2ScGa5, relaxed
# **Size of the total moment**: 0.0 μB/f.u.
# **Total energy**: -3.339 eV/atom
# **Energy of formation from the pure elements**: -0.409 eV/atom
data_Li2Ca2ScGa5
_chemical_formula_sum 'Li4 Ca4 Sc2 Ga10'
_space_group_name_H-M_alt 'P 4/m b m'
_space_group_IT_number 127
_space_group_name_Hall '-P 4 2ab'
_cell_length_a 9.528
_cell_length_b 9.528
_cell_length_c 4.265
_cell_angle_alpha 90.00
_cell_angle_beta 90.00
_cell_angle_gamma 90.00
loop_
_atom_site_label
_atom_site_type_symbol
_atom_site_fract_x
_atom_site_fract_y
_atom_site_fract_z
Li1 Li 0.115 0.385 0.000
Ca1 Ca 0.181 0.681 0.000
Sc1 Sc 0.000 0.000 0.000
Ga1 Ga 0.000 0.500 0.500
Ga2 Ga 0.054 0.206 0.500


# PBE LiCaScGa, relaxed
# **Size of the total moment**: 0.0 μB/f.u.
# **Total energy**: -3.553 eV/atom
# **Energy of formation from the pure elements**: -0.235 eV/atom
data_LiCaScGa
_chemical_formula_sum 'Li4 Ca4 Sc4 Ga4'
_space_group_name_H-M_alt 'F -4 3 m'
_space_group_IT_number 216
_space_group_name_Hall 'F -4 2 3'
_cell_length_a 7.099
_cell_length_b 7.099
_cell_length_c 7.099
_cell_angle_alpha 90.00
_cell_angle_beta 90.00
_cell_angle_gamma 90.00
loop_
_atom_site_label
_atom_site_type_symbol
_atom_site_fract_x
_atom_site_fract_y
_atom_site_fract_z
Li1 Li 0.000 0.000 0.000
Ca1 Ca 0.250 0.250 0.250
Sc1 Sc 0.250 0.250 0.750
Ga1 Ga 0.000 0.000 0.500


# PBE Li2CaGa2Si2, relaxed
# **Size of the total moment**: 0.0 μB/f.u.
# **Total energy**: -3.579 eV/atom
# **Energy relative to the elements, uncorrected**: -0.332 eV per atom
data_Li2CaGa2Si2
_chemical_formula_sum 'Li6 Ca3 Ga6 Si6'
_space_group_name_H-M_alt 'R -3 m'
_space_group_IT_number 166
_space_group_name_Hall '-R 3 2"'
_cell_length_a 4.1879
_cell_length_b 4.1879
_cell_length_c 24.7283
_cell_angle_alpha 90.00
_cell_angle_beta 90.00
_cell_angle_gamma 120.00
loop_
_atom_site_label
_atom_site_type_symbol
_atom_site_fract_x
_atom_site_fract_y
_atom_site_fract_z
Li1 Li 0.0000 0.0000 0.1459
Ca1 Ca 0.0000 0.0000 0.0000
Ga1 Ga 0.0000 0.0000 0.4431
Si1 Si 0.0000 0.0000 0.2558


# PBE LiCaGa2Si, relaxed
# **Size of the total moment**: 0.0 μB/f.u.
# **Total energy**: -2.038 eV/atom
# **Energy relative to the elements, uncorrected**: 1.040 eV per atom
data_LiCaGa2Si
_chemical_formula_sum 'Li1 Ca1 Ga2 Si1'
_space_group_name_H-M_alt 'P 4/m m m'
_space_group_IT_number 123
_space_group_name_Hall '-P 4 2'
_cell_length_a 5.409
_cell_length_b 5.409
_cell_length_c 5.196
_cell_angle_alpha 90.00
_cell_angle_beta 90.00
_cell_angle_gamma 90.00
loop_
_atom_site_label
_atom_site_type_symbol
_atom_site_fract_x
_atom_site_fract_y
_atom_site_fract_z
Li1 Li 0.000 0.000 0.000
Ca1 Ca 0.000 0.000 0.500
Ga1 Ga 0.000 0.500 0.500
Si1 Si 0.500 0.500 0.000


# PBE Li2CaGaSn2, relaxed
# **Size of the total moment**: 0.0 μB/f.u.
# **Total energy**: -3.207 eV/atom
# **Energy of formation from the pure elements**: -0.397 eV/atom
data_Li2CaGaSn2
_chemical_formula_sum 'Li4 Ca2 Ga2 Sn4'
_space_group_name_H-M_alt 'P m c 21'
_space_group_IT_number 26
_cell_length_a 4.511
_cell_length_b 8.278
_cell_length_c 7.510
_cell_angle_alpha 90.00
_cell_angle_beta 90.00
_cell_angle_gamma 90.00
loop_
_space_group_symop_operation_xyz
'x,y,z'
'-x,-y,z+1/2'
'-x,y,z'
'x,-y,z+1/2'
loop_
_atom_site_label
_atom_site_type_symbol
_atom_site_fract_x
_atom_site_fract_y
_atom_site_fract_z
Li1 Li 0.000 0.070 0.000
Li2 Li 0.500 0.183 0.327
Ca1 Ca 0.500 0.437 0.962
Ga1 Ga 0.000 0.315 0.627
Sn1 Sn 0.000 0.358 0.249
Sn2 Sn 0.500 0.123 0.699


# PBE SrLi2CaGa, relaxed
# **Size of the total moment**: 0.0 μB/f.u.
# **Total energy**: -2.118 eV/atom
# **Energy of formation from the pure elements**: -0.011 eV/atom
data_SrLi2CaGa
_chemical_formula_sum 'Sr1 Li2 Ca1 Ga1'
_space_group_name_H-M_alt 'P 4/m m m'
_space_group_IT_number 123
_space_group_name_Hall '-P 4 2'
_cell_length_a 5.296
_cell_length_b 5.296
_cell_length_c 5.677
_cell_angle_alpha 90.00
_cell_angle_beta 90.00
_cell_angle_gamma 90.00
loop_
_atom_site_label
_atom_site_type_symbol
_atom_site_fract_x
_atom_site_fract_y
_atom_site_fract_z
Sr1 Sr 0.000 0.000 0.000
Li1 Li 0.000 0.500 0.500
Ca1 Ca 0.500 0.500 0.000
Ga1 Ga 0.500 0.500 0.500